[1]
The following is a PBE calculation of CePmSnN after structural relaxation, from Alexandria.

Geometry as extended XYZ:
```
8
Lattice="4.6996 0.0000 0.0000 0.0000 4.6996 0.0000 0.0000 0.0000 9.0079" Properties=species:S:1:pos:R:3 pbc="T T T"
Ce 1.1749 1.1749 1.5678
Ce 3.5247 3.5247 7.4400
Pm 1.1749 3.5247 4.5039
Pm 3.5247 1.1749 4.5039
Sn 1.1749 1.1749 7.2221
Sn 3.5247 3.5247 1.7858
N 1.1749 1.1749 3.6806
N 3.5247 3.5247 5.3272
```

Output
Formation energy without anion corrections (eV/atom): -1.06
DOS(E_F) (states/eV/cell): 4.2
Crystal system: tetragonal
SG: No. 129

---

[2]
The following is a PBE calculation of Li3Tb3NpS8 after structural relaxation, from Alexandria.

Geometry as extended XYZ:
```
15
Lattice="3.9550 2.2834 6.1621 -3.9550 2.2834 6.1621 0.0000 -4.5668 6.1621" Properties=species:S:1:pos:R:3 pbc="T T T"
Li -1.9775 -1.1417 6.1621
Li -1.9775 1.1417 12.3241
Li 0.0000 2.2834 6.1621
Tb -3.9550 0.0000 9.2431
Tb -1.9775 1.1417 3.0810
Tb 1.9775 1.1417 3.0810
Np 0.0000 0.0000 9.2431
S 0.0000 0.0000 4.6245
S 0.0000 -2.2233 7.7438
S -1.9255 1.1117 7.7438
S -1.9255 -1.1117 10.7424
S 1.9255 1.1117 7.7438
S 1.9255 -1.1117 10.7424
S 0.0000 2.2233 10.7424
S 0.0000 0.0000 13.8617
```

Output
Formation energy without anion corrections (eV/atom): -1.70
DOS(E_F) (states/eV/cell): 13.2
Crystal system: trigonal
SG: No. 166

---

[3]
The following is a PBE calculation of NbTlGa2Cl8 after structural relaxation, from Alexandria.

Geometry as extended XYZ:
```
12
Lattice="6.9025 0.0000 0.0000 0.5732 7.1589 0.0000 2.3213 1.7848 8.3323" Properties=species:S:1:pos:R:3 pbc="T T T"
Nb 0.0000 0.0000 0.0000
Tl 1.1607 0.8924 4.1661
Ga 5.0299 4.4672 6.1107
Ga 4.7670 4.4765 2.2216
Cl 1.6402 5.0945 0.4116
Cl 1.8284 1.1585 1.0195
Cl 3.4599 1.9530 6.2001
Cl 3.4192 5.4005 4.2669
Cl 6.3778 3.5433 4.0654
Cl 6.3371 6.9907 2.1322
Cl 7.9685 7.7852 7.3128
Cl 8.1568 3.8492 7.9207
```

Output
Formation energy without anion corrections (eV/atom): -1.03
Crystal system: triclinic
SG: No. 2

---

[4]
The following is a PBE calculation of ScCu4Pt after structural relaxation, from Alexandria.

Geometry as extended XYZ:
```
6
Lattice="0.0000 3.4566 3.4566 3.4566 0.0000 3.4566 3.4566 3.4566 0.0000" Properties=species:S:1:pos:R:3 pbc="T T T"
Sc 0.0000 0.0000 0.0000
Cu 2.5944 2.5944 2.5944
Cu 4.3189 4.3189 2.5944
Cu 4.3189 2.5944 4.3189
Cu 2.5944 4.3189 4.3189
Pt 5.1849 5.1849 5.1849
```

Output
Formation energy (eV/atom): -0.3974
DOS(E_F) (states/eV/cell): 4.0
Crystal system: cubic
SG: No. 216

---

[5]
The following is a PBE calculation of BaGeBr4 after structural relaxation, from Alexandria.

Geometry as extended XYZ:
```
12
Lattice="7.9009 0.0000 0.0000 0.0000 7.9009 0.0000 0.0000 0.0000 7.8096" Properties=species:S:1:pos:R:3 pbc="T T T"
Ba 0.0000 0.0000 0.0000
Ba 3.9505 3.9505 3.9048
Ge 0.0000 3.9505 5.8572
Ge 3.9505 0.0000 1.9524
Br 1.9114 2.0249 5.8484
Br 1.9255 5.8618 5.8660
Br 2.0249 5.9896 1.9612
Br 2.0391 1.9255 1.9436
Br 5.8618 5.9754 1.9436
Br 5.8760 1.9114 1.9612
Br 5.9754 2.0391 5.8660
Br 5.9896 5.8760 5.8484
```

Output
Formation energy without anion corrections (eV/atom): -1.21
Crystal system: tetragonal
SG: No. 82

---

[6]
The following is a PBE calculation of AlNi2Ag after structural relaxation, from Alexandria.

Geometry as extended XYZ:
```
8
Lattice="3.8942 0.0000 0.0000 0.0000 3.8942 0.0000 0.0000 0.0000 6.9700" Properties=species:S:1:pos:R:3 pbc="T T T"
Al 0.0000 0.0000 0.0000
Al 1.9471 1.9471 3.4850
Ni 0.0000 1.9471 1.7425
Ni 0.0000 1.9471 5.2275
Ni 1.9471 0.0000 1.7425
Ni 1.9471 0.0000 5.2275
Ag 0.0000 0.0000 3.4850
Ag 1.9471 1.9471 0.0000
```

Output
Formation energy (eV/atom): -0.1826
DOS(E_F) (states/eV/cell): 3.6
Crystal system: tetragonal
SG: No. 139

---

[7]
The following is a PBE calculation of CdAg4Au8 after structural relaxation, from Alexandria.

Geometry as extended XYZ:
```
13
Lattice="2.8984 0.0000 0.0000 0.0000 4.7245 0.0000 0.0000 0.0000 18.0203" Properties=species:S:1:pos:R:3 pbc="T T T"
Cd 0.0000 0.0000 0.0000
Ag 0.0000 0.0000 4.9651
Ag 0.0000 2.3622 8.4098
Ag 1.4492 0.0000 12.6934
Ag 1.4492 2.3622 16.4129
Au 0.0000 0.0000 10.1044
Au 0.0000 0.0000 15.2830
Au 0.0000 2.3622 1.7272
Au 0.0000 2.3622 13.6874
Au 1.4492 0.0000 2.5211
Au 1.4492 0.0000 7.4973
Au 1.4492 2.3622 5.7728
Au 1.4492 2.3622 11.0281
```

Output
Formation energy (eV/atom): 0.0070
DOS(E_F) (states/eV/cell): 4.9
Crystal system: orthorhombic
SG: No. 25
Offset from the most stable computed form (eV/atom): 0.000

---

[8]
The following is a PBE calculation of KAgF3 after structural relaxation, from Alexandria.

Geometry as extended XYZ:
```
20
Lattice="6.2185 0.0000 0.0000 0.0000 8.6804 0.0000 0.0000 0.0000 6.1744" Properties=species:S:1:pos:R:3 pbc="T T T"
K 0.1848 2.1701 0.0365
K 2.9244 6.5103 3.1237
K 3.2941 2.1701 3.0507
K 6.0337 6.5103 6.1379
Ag 0.0000 0.0000 3.0872
Ag 0.0000 4.3402 3.0872
Ag 3.1093 0.0000 0.0000
Ag 3.1093 4.3402 0.0000
F 0.0896 6.5103 2.7385
F 1.3772 4.6015 4.8574
F 1.3772 8.4190 4.8574
F 1.7320 0.2613 1.7702
F 1.7320 4.0789 1.7702
F 3.0196 2.1701 5.8257
F 3.1989 6.5103 0.3487
F 4.4865 4.6015 4.4042
F 4.4865 8.4190 4.4042
F 4.8413 0.2613 1.3170
F 4.8413 4.0789 1.3170
F 6.1289 2.1701 3.4359
```

Output
Formation energy without anion corrections (eV/atom): -1.87
DOS(E_F) (states/eV/cell): 6.2
Crystal system: orthorhombic
SG: No. 62

---

[9]
The following is a PBE calculation of LiPaCu2 after structural relaxation, from Alexandria.

Geometry as extended XYZ:
```
12
Lattice="2.9592 0.0000 0.0000 -1.4796 2.5628 0.0000 0.0000 0.0000 27.1615" Properties=species:S:1:pos:R:3 pbc="T T T"
Li 0.0000 0.0000 0.0000
Li 0.0000 1.7085 18.1077
Li 1.4796 0.8543 9.0538
Pa 0.0000 0.0000 13.5807
Pa 0.0000 1.7085 4.5269
Pa 1.4796 0.8543 22.6346
Cu 0.0000 0.0000 7.0122
Cu 0.0000 0.0000 20.1493
Cu 0.0000 1.7085 11.0954
Cu 0.0000 1.7085 25.1199
Cu 1.4796 0.8543 2.0416
Cu 1.4796 0.8543 16.0661
```

Output
Formation energy (eV/atom): 0.1933
DOS(E_F) (states/eV/cell): 6.5
Crystal system: trigonal
SG: No. 166
Offset from the most stable computed form (eV/atom): 0.131

---

[10]
The following is a PBE calculation of Ba2DyIn after structural relaxation, from Alexandria.

Geometry as extended XYZ:
```
12
Lattice="3.8509 0.0000 0.0000 -1.9254 3.3350 0.0000 0.0000 0.0000 38.6738" Properties=species:S:1:pos:R:3 pbc="T T T"
Ba 0.0000 0.0000 3.6290
Ba 0.0000 0.0000 35.0448
Ba 0.0000 2.2233 22.1535
Ba 0.0000 2.2233 29.4115
Ba 1.9254 1.1116 9.2623
Ba 1.9254 1.1116 16.5202
Dy 0.0000 0.0000 0.0000
Dy 0.0000 2.2233 25.7825
Dy 1.9254 1.1116 12.8913
In 0.0000 0.0000 19.3369
In 0.0000 2.2233 6.4456
In 1.9254 1.1116 32.2281
```

Output
Formation energy (eV/atom): 0.2195
DOS(E_F) (states/eV/cell): 16.0
Crystal system: trigonal
SG: No. 166

---

[11]
The following is a PBE calculation of MgSi2Au after structural relaxation, from Alexandria.

Geometry as extended XYZ:
```
4
Lattice="4.0326 0.0000 0.0000 0.0000 4.0326 0.0000 0.0000 0.0000 4.1312" Properties=species:S:1:pos:R:3 pbc="T T T"
Mg 0.0000 0.0000 0.0000
Si 0.0000 2.0163 2.0656
Si 2.0163 0.0000 2.0656
Au 2.0163 2.0163 0.0000
```

Output
Formation energy without anion corrections (eV/atom): 0.09
DOS(E_F) (states/eV/cell): 1.9
Crystal system: tetragonal
SG: No. 123

---

[12]
The following is a PBE calculation of CsTlRuO4 after structural relaxation, from Alexandria.

Geometry as extended XYZ:
```
14
Lattice="6.7500 0.0000 0.0000 0.0000 6.7500 0.0000 0.0000 0.0000 9.2264" Properties=species:S:1:pos:R:3 pbc="T T T"
Cs 0.0000 0.0000 0.0000
Cs 3.3750 3.3750 4.6132
Tl 0.0000 0.0000 4.6132
Tl 3.3750 3.3750 0.0000
Ru 0.0000 3.3750 2.3066
Ru 3.3750 0.0000 6.9198
O 0.8833 4.5737 3.3198
O 1.1988 2.4916 1.2934
O 2.1762 0.8833 5.9067
O 2.4916 5.5512 7.9330
O 4.2583 1.1988 7.9330
O 4.5737 5.8666 5.9067
O 5.5512 4.2583 1.2934
O 5.8666 2.1762 3.3198
```

Output
Formation energy without anion corrections (eV/atom): -1.04
Crystal system: tetragonal
SG: No. 82

---

[13]
The following is a PBE calculation of ThHAu after structural relaxation, from Alexandria.

Geometry as extended XYZ:
```
6
Lattice="3.4443 0.0000 0.0000 0.0000 3.4443 0.0000 0.0000 0.0000 9.9137" Properties=species:S:1:pos:R:3 pbc="T T T"
Th 0.0000 0.0000 0.0000
Th 1.7222 1.7222 4.9569
H 0.0000 0.0000 5.5189
H 1.7222 1.7222 0.5621
Au 0.0000 0.0000 2.9822
Au 1.7222 1.7222 7.9391
```

Output
DOS(E_F) (states/eV/cell): 4.4
Crystal system: tetragonal
SG: No. 107
Offset from the most stable computed form (eV/atom): 0.429

---

[14]
The following is a PBE calculation of ZrBi3Pt after structural relaxation, from Alexandria.

Geometry as extended XYZ:
```
5
Lattice="5.3750 0.0000 0.0000 0.0000 5.3750 0.0000 0.0000 0.0000 5.3750" Properties=species:S:1:pos:R:3 pbc="T T T"
Zr 0.0000 0.0000 0.0000
Bi 0.0000 2.6875 2.6875
Bi 2.6875 0.0000 2.6875
Bi 2.6875 2.6875 0.0000
Pt 2.6875 2.6875 2.6875
```

Output
Formation energy (eV/atom): 0.5201
DOS(E_F) (states/eV/cell): 4.5
Crystal system: cubic
SG: No. 221
Offset from the most stable computed form (eV/atom): 0.000

---

[15]
The following is a PBE calculation of Ca2IrBr after structural relaxation, from Alexandria.

Geometry as extended XYZ:
```
16
Lattice="7.1722 0.0000 0.0000 0.0000 7.1722 0.0000 0.0000 0.0000 7.1722" Properties=species:S:1:pos:R:3 pbc="T T T"
Ca 1.7931 1.7931 1.7931
Ca 1.7931 1.7931 5.3792
Ca 1.7931 5.3792 1.7931
Ca 1.7931 5.3792 5.3792
Ca 5.3792 1.7931 1.7931
Ca 5.3792 1.7931 5.3792
Ca 5.3792 5.3792 1.7931
Ca 5.3792 5.3792 5.3792
Ir 0.0000 0.0000 0.0000
Ir 0.0000 3.5861 3.5861
Ir 3.5861 0.0000 3.5861
Ir 3.5861 3.5861 0.0000
Br 0.0000 0.0000 3.5861
Br 0.0000 3.5861 0.0000
Br 3.5861 0.0000 0.0000
Br 3.5861 3.5861 3.5861
```

Output
Formation energy without anion corrections (eV/atom): -0.58
DOS(E_F) (states/eV/cell): 0.0
Crystal system: cubic
SG: No. 225
Offset from the most stable computed form (eV/atom): 0.293

---

[16]
The following is a PBE calculation of Sr2Bi4Pd5 after structural relaxation, from Alexandria.

Geometry as extended XYZ:
```
11
Lattice="0.0000 5.4477 8.4560 3.1133 0.0000 8.4560 3.1133 5.4477 0.0000" Properties=species:S:1:pos:R:3 pbc="T T T"
Sr 3.1133 5.4477 2.2456
Sr 3.1133 5.4477 14.6663
Bi 3.1133 3.7127 6.3136
Bi 3.1133 3.7127 10.5984
Bi 3.1133 7.1828 6.3136
Bi 3.1133 7.1828 10.5984
Pd 1.5567 2.7239 0.0000
Pd 1.5567 2.7239 4.2280
Pd 1.5567 2.7239 8.4560
Pd 3.1133 5.4477 8.4560
Pd 4.6700 8.1716 12.6840
```

Output
Formation energy (eV/atom): -0.4478
DOS(E_F) (states/eV/cell): 3.8
Crystal system: orthorhombic
SG: No. 69

---

[17]
The following is a PBE calculation of Li2FeHg after structural relaxation, from Alexandria.

Geometry as extended XYZ:
```
4
Lattice="2.7845 0.0000 0.0000 0.0000 4.6301 0.0000 -0.4909 0.0000 4.9599" Properties=species:S:1:pos:R:3 pbc="T T T"
Li 0.5586 0.0000 1.3079
Li 1.7350 0.0000 3.6520
Fe -0.2455 2.3151 2.4799
Hg 1.3923 2.3151 0.0000
```

Output
Formation energy (eV/atom): 0.1545
DOS(E_F) (states/eV/cell): 2.9
Crystal system: monoclinic
SG: No. 10

---

[18]
The following is a PBE calculation of Na3La2ThSe6 after structural relaxation, from Alexandria.

Geometry as extended XYZ:
```
12
Lattice="9.3740 -2.1501 0.0000 9.3740 2.1501 0.0000 -1.9478 0.0000 8.4100" Properties=species:S:1:pos:R:3 pbc="T T T"
Na 0.0000 0.0000 0.0000
Na 4.9166 0.0000 5.6234
Na 11.8836 0.0000 2.7866
La 5.9199 0.0000 1.3889
La 10.8803 0.0000 7.0211
Th -0.9739 0.0000 4.2050
Se 1.8859 0.0000 4.8936
Se 2.9896 0.0000 0.6679
Se 8.8617 0.0000 2.2017
Se 7.9385 0.0000 6.2082
Se 13.8106 0.0000 7.7421
Se 14.9143 0.0000 3.5164
```

Output
Formation energy without anion corrections (eV/atom): -1.66
DOS(E_F) (states/eV/cell): 4.7
Crystal system: monoclinic
SG: No. 12

---

[19]
The following is a PBE calculation of MnReBi2 after structural relaxation, from Alexandria.

Geometry as extended XYZ:
```
16
Lattice="6.7209 0.0000 0.0000 0.0000 6.7209 0.0000 0.0000 0.0000 6.7209" Properties=species:S:1:pos:R:3 pbc="T T T"
Mn 0.0000 0.0000 0.0000
Mn 0.0000 3.3604 3.3604
Mn 3.3604 0.0000 3.3604
Mn 3.3604 3.3604 0.0000
Re 0.0000 0.0000 3.3604
Re 0.0000 3.3604 0.0000
Re 3.3604 0.0000 0.0000
Re 3.3604 3.3604 3.3604
Bi 1.6802 1.6802 1.6802
Bi 1.6802 1.6802 5.0407
Bi 1.6802 5.0407 1.6802
Bi 1.6802 5.0407 5.0407
Bi 5.0407 1.6802 1.6802
Bi 5.0407 1.6802 5.0407
Bi 5.0407 5.0407 1.6802
Bi 5.0407 5.0407 5.0407
```

Output
Formation energy (eV/atom): 1.0178
DOS(E_F) (states/eV/cell): 13.5
Crystal system: cubic
SG: No. 225
Offset from the most stable computed form (eV/atom): 0.000

---

[20]
The following is a PBE calculation of LiEr5Hg6 after structural relaxation, from Alexandria.

Geometry as extended XYZ:
```
12
Lattice="4.4600 -7.7525 0.0000 4.4600 7.7525 0.0000 -2.9635 0.0000 4.2066" Properties=species:S:1:pos:R:3 pbc="T T T"
Li 0.0000 0.0000 0.0000
Er 2.9782 5.2267 2.1033
Er 4.4600 2.5978 0.0000
Er 2.9782 0.0000 2.1033
Er 4.4600 -2.5978 0.0000
Er 2.9782 -5.2267 2.1033
Hg 1.4503 2.5219 1.0219
Hg -0.0379 0.0000 3.1325
Hg 1.4503 -2.5219 1.0219
Hg 4.5062 2.5219 3.1847
Hg 5.9944 0.0000 1.0741
Hg 4.5062 -2.5219 3.1847
```

Output
Formation energy (eV/atom): -0.4641
DOS(E_F) (states/eV/cell): 8.0
Crystal system: monoclinic
SG: No. 12

---

[21]
The following is a PBE calculation of VFe2Pd6 after structural relaxation, from Alexandria.

Geometry as extended XYZ:
```
9
Lattice="4.3063 -1.9550 0.0000 4.3063 1.9550 0.0000 -2.5073 0.0000 7.7675" Properties=species:S:1:pos:R:3 pbc="T T T"
V 0.0000 0.0000 0.0000
Fe 0.9187 0.0000 6.0202
Fe 5.1867 0.0000 1.7474
Pd 7.8070 0.0000 2.4911
Pd -1.7017 0.0000 5.2765
Pd 1.7500 0.0000 3.4375
Pd 2.6375 0.0000 0.7987
Pd 3.4679 0.0000 6.9688
Pd 4.3553 0.0000 4.3300
```

Output
Formation energy (eV/atom): -0.1374
DOS(E_F) (states/eV/cell): 7.9
Crystal system: monoclinic
SG: No. 12
Offset from the most stable computed form (eV/atom): 0.040

---

[22]
The following is a PBE calculation of Mg2RhBr after structural relaxation, from Alexandria.

Geometry as extended XYZ:
```
8
Lattice="4.2748 0.0000 0.0000 0.0000 3.3804 0.0000 0.0000 0.0000 10.3676" Properties=species:S:1:pos:R:3 pbc="T T T"
Mg 0.0000 0.0000 0.0000
Mg 0.0000 1.6902 5.1838
Mg 2.1374 0.0000 3.2145
Mg 2.1374 1.6902 8.3983
Rh 2.1374 0.0000 5.8275
Rh 2.1374 1.6902 0.6438
Br 0.0000 0.0000 7.5844
Br 0.0000 1.6902 2.4006
```

Output
Formation energy without anion corrections (eV/atom): -0.36
DOS(E_F) (states/eV/cell): 2.4
Crystal system: orthorhombic
SG: No. 38
Offset from the most stable computed form (eV/atom): 0.257